Ce2NpSe3 after structural relaxation. Source: the Alexandria database, functional GGA-PBE.

abc: 4.2144 4.2144 17.5459
angles: 90.00 90.00 90.00
With the nearest neighbours (Å) after each atom.
Space group I4/mmm (No. 139)
One atom of each set of equivalent atoms:
Ce 0.0000 0.0000 0.1672 (multiplicity 4)  6 Se 2.93-2.98
Np 0.0000 0.0000 0.5000 (multiplicity 2)  6 Se 2.89-2.98
Se 0.0000 0.0000 0.0000 (multiplicity 2)  2 Ce 2.93, 4 Np 2.98
Se 0.0000 0.0000 0.3353 (multiplicity 4)  1 Np 2.89, 5 Ce 2.95-2.98

ΔE_f (raw) = -9.58 eV per formula unit